Material: Sr2LuBr
Method: DFT, PBE
State: relaxed

abc: 3.8593 3.8593 12.0354
angles: 80.77 80.77 60.00
With the nearest neighbours (Å) after each atom.
Element x y z (fractional)
1 Sr 0.0998 0.0998 0.7005  3 Br 3.25, 1 Lu 3.54
2 Sr 0.9002 0.9002 0.2995  3 Br 3.25, 1 Lu 3.54
3 Lu 0.0000 0.0000 0.0000  2 Sr 3.54, 6 Lu 3.86
4 Br 0.5000 0.5000 0.5000  6 Sr 3.25

For the energy relative to the elements, uncorrected, the calculation gives -1.35 eV per formula unit. For the energy, the calculation gives -10.903 eV/cell. The calculation puts the calculated volume at 153 Å³/cell. The calculation puts the density of states at the Fermi level at 1.024 states/eV/atom. For the total moment, the calculation gives 0.00 μB per formula unit.

=====

Material: KCaZnSe2
Method: DFT, PBE
State: relaxed

abc: 4.9976 7.6034 8.4635
angles: 98.86 90.00 90.00
With the nearest neighbours (Å) after each atom.
Element x y z (fractional)
1 K 0.1491 0.5000 0.7500  6 Se 3.43-3.61
2 K 0.8509 0.5000 0.2500  6 Se 3.43-3.61
3 Ca 0.4916 0.0000 0.2500  4 Se 2.92, 2 Zn 3.24
4 Ca 0.5084 0.0000 0.7500  4 Se 2.92, 2 Zn 3.24
5 Zn 0.0000 0.0000 0.0000  2 Se 2.44
6 Zn 0.0000 0.0000 0.5000  2 Se 2.44
7 Se 0.6720 0.7587 0.9685  1 Zn 2.44
8 Se 0.6720 0.2413 0.5315  1 Zn 2.44
9 Se 0.3280 0.7587 0.4685  1 Zn 2.44
10 Se 0.3280 0.2413 0.0315  1 Zn 2.44

For the energy relative to the elements, uncorrected, the calculation gives -4.79 eV per formula unit. For the energy, the calculation gives -32.262 eV/cell. The calculation puts the calculated volume at 318 Å³/cell. The calculation puts the density of states at the Fermi level at 0.392 states/eV/atom. For the total moment, the calculation gives 0.59 μB per formula unit.

=====

Material: MgZrMo
Method: DFT, PBE
State: relaxed

abc: 7.5750 7.5750 7.5750
angles: 158.50 158.50 30.58
With the nearest neighbours (Å) after each atom.
Element x y z (fractional)
1 Mg 0.9899 0.9899 0.0000  4 Mg 2.83, 4 Mo 3.01
2 Mo 0.3358 0.3358 0.0000  4 Mo 2.83, 4 Mg 3.01, 4 Zr 3.09
3 Zr 0.6742 0.6742 0.0000  4 Zr 2.83, 4 Mo 3.09

The relative energy among the computed polymorphs is 0.281 eV per atom. For the energy, the calculation gives -20.170 eV/cell. As for the formation energy: 0.27 eV/atom. The calculation puts the calculated volume at 58 Å³/cell. The calculation puts the density of states at the Fermi level at 0.831 states/eV/atom. For the total moment, the calculation gives 0.00 μB per formula unit.

=====

Material: Sr6Os7
Method: DFT, PBE
State: relaxed

abc: 13.5403 13.5403 13.5403
angles: 22.73 22.73 22.73
With the nearest neighbours (Å) after each atom.
Element x y z (fractional)
1 Sr 0.9351 0.9351 0.9351  6 Os 3.17, 4 Sr 3.32-3.47
2 Sr 0.0649 0.0649 0.0649  6 Os 3.17, 4 Sr 3.32-3.47
3 Sr 0.8474 0.8474 0.8474  12 Os 3.13-3.25, 4 Sr 3.28-3.47
4 Sr 0.1526 0.1526 0.1526  12 Os 3.13-3.25, 4 Sr 3.28-3.47
5 Sr 0.6331 0.6331 0.6331  3 Sr 3.32, 3 Os 3.33
6 Sr 0.3669 0.3669 0.3669  3 Sr 3.32, 3 Os 3.33
7 Os 0.8963 0.3898 0.3898  5 Os 2.63-2.79
8 Os 0.3898 0.3898 0.8963  5 Os 2.63-2.79
9 Os 0.3898 0.8963 0.3898  5 Os 2.63-2.79
10 Os 0.1037 0.6102 0.6102  5 Os 2.63-2.79
11 Os 0.6102 0.1037 0.6102  5 Os 2.63-2.79
12 Os 0.6102 0.6102 0.1037  5 Os 2.63-2.79
13 Os 0.5000 0.5000 0.5000  6 Os 2.79

For the energy, the calculation gives -82.588 eV/cell. As for the formation energy: 0.47 eV/atom. The calculation puts the calculated volume at 325 Å³/cell. The calculation puts the density of states at the Fermi level at 1.210 states/eV/atom. For the total moment, the calculation gives 0.00 μB per formula unit.